Be2SbMo | GGA-PBE | relaxed

Unit cell a=6.179 b=6.179 c=6.179 alpha=90.00 beta=90.00 gamma=90.00
Space group F-43m (No. 216)
One atom of each set of equivalent atoms:
Be (0.000, 0.000, 0.000) (multiplicity 4)
Be (0.250, 0.250, 0.250) (multiplicity 4)
Sb (0.000, 0.000, 0.500) (multiplicity 4)
Mo (0.250, 0.250, 0.750) (multiplicity 4)

Output
spin magnetization: 0.354 μB per cell
total energy: -4.862 eV/atom
V: 58.97 Å³/f.u.